Record 1
This record from Alexandria describes CdGe2Pt7Pb2 after structural relaxation. The functional is PBE.

Lattice parameters (Å, degrees): 3.9650 3.9650 15.8949 97.00 97.00 90.09
Fractional positions:
Cd: 0.0000 0.0000 0.0000
Ge: 0.3859 0.3859 0.7657
Ge: 0.6141 0.6141 0.2343
Pt: 0.0665 0.5671 0.1364
Pt: 0.3065 0.3065 0.6111
Pt: 0.4329 0.9335 0.8636
Pt: 0.5000 0.5000 0.0000
Pt: 0.5671 0.0665 0.1364
Pt: 0.6935 0.6935 0.3889
Pt: 0.9335 0.4329 0.8636
Pb: 0.2104 0.2104 0.4225
Pb: 0.7896 0.7896 0.5775

Calculated values
* symmetry: C2/m
* final energy: -5.247 eV/atom

***

Record 2
This record from Alexandria describes Dy2Pt9Pb after structural relaxation. The functional is PBE.

Lattice parameters (Å, degrees): 4.1174 4.1174 12.4021 90.00 90.00 90.00
Fractional positions:
Dy: 0.0000 0.0000 0.1647
Dy: 0.0000 0.0000 0.8353
Pt: 0.0000 0.5000 0.0000
Pt: 0.0000 0.5000 0.3311
Pt: 0.0000 0.5000 0.6689
Pt: 0.5000 0.0000 0.0000
Pt: 0.5000 0.0000 0.3311
Pt: 0.5000 0.0000 0.6689
Pt: 0.5000 0.5000 0.1678
Pt: 0.5000 0.5000 0.5000
Pt: 0.5000 0.5000 0.8322
Pb: 0.0000 0.0000 0.5000

Calculated values
* symmetry: P4/mmm
* final energy: -6.332 eV/atom

***

Record 3
This record from Alexandria describes LiZrI2 after structural relaxation. The functional is PBE.

Lattice parameters (Å, degrees): 5.1708 5.1708 5.1708 60.00 60.00 60.00
Fractional positions:
Li: 0.0000 0.0000 0.0000
Zr: 0.5000 0.5000 0.5000
I: 0.2500 0.2500 0.2500
I: 0.7500 0.7500 0.7500

Calculated values
* symmetry: Fm-3m
* formation energy (no corrections): -0.251 eV/atom
* E above lowest polymorph: 0 meV per atom

***

| no. | magnetization (μB per cell) |
| --- | --- |
| 1 | 0.00 |
| 2 | 0.00 |
| 3 | 1.00 |